No. 1
32
Lattice="4.819 0.000 0.000 0.000 7.749 0.000 -0.161 0.000 9.809" Properties=species:S:1:pos:R:3 comment="CaBePO4F (PBE, optimized geometry)" vol_a3_per_atom=11.45 space_group="P2_1/c (14)" raw_formation_energy_mev_per_atom=-2919 m_tot_mub_per_atom=0.00 pbc="T T T"
Ca -0.007 0.860 1.659
Ca -0.087 3.015 6.563
Ca 4.746 4.734 3.246
Ca 4.665 6.889 8.151
Be 2.103 0.669 6.497
Be 2.183 3.205 1.593
Be 2.475 4.543 8.216
Be 2.556 7.080 3.312
P 2.183 5.659 5.701
P 2.263 5.964 0.796
P 2.395 1.784 9.013
P 2.476 2.090 4.109
O 1.086 4.675 5.295
O 1.166 6.948 0.391
O 1.428 1.199 7.921
O 1.509 2.676 3.017
O 1.613 4.701 1.442
O 1.533 6.923 6.347
O 1.613 1.687 5.338
O 1.693 2.187 0.433
O 2.965 5.562 9.376
O 3.046 6.061 4.471
O 3.126 0.826 3.462
O 3.046 3.048 8.367
O 3.150 5.073 6.792
O 3.230 6.550 1.888
O 3.492 0.801 9.418
O 3.572 3.074 4.514
F 0.902 4.586 8.096
F 0.982 7.037 3.191
F 3.676 0.712 6.618
F 3.757 3.162 1.713


No. 2
26
Lattice="12.023 0.000 0.000 0.000 22.021 0.000 0.000 0.000 3.805" Properties=species:S:1:pos:R:3 comment="Ac5Nd2Sm6 (PBE, optimized geometry)" vol_a3_per_atom=38.75 ef_mev_per_atom=81 space_group="Pbam (55)" m_tot_mub_per_atom=0.00 pbc="T T T"
Ac 0.000 0.000 0.000
Ac 0.850 9.386 0.000
Ac 1.748 15.905 0.000
Ac 4.264 4.894 0.000
Ac 5.162 20.396 0.000
Ac 6.012 11.010 0.000
Ac 6.861 1.625 0.000
Ac 7.760 17.126 0.000
Ac 10.275 6.116 0.000
Ac 11.174 12.635 0.000
Nd 1.397 6.245 1.903
Nd 4.615 17.255 1.903
Nd 7.409 4.765 1.903
Nd 10.626 15.776 1.903
Sm 1.012 3.330 0.000
Sm 1.939 19.401 1.903
Sm 2.721 12.251 1.903
Sm 3.290 1.241 1.903
Sm 4.073 8.391 1.903
Sm 5.000 14.341 0.000
Sm 7.024 7.680 0.000
Sm 7.951 13.629 1.903
Sm 8.733 20.780 1.903
Sm 9.302 9.769 1.903
Sm 10.085 2.619 1.903
Sm 11.011 18.690 0.000